1.
Ca4InSn7 | PBE | optimized geometry

- space-group type = P-1
- formation energy from the elements (kJ/mol of atoms) = -35.7

The structure in POSCAR format:
```
Ca4InSn7
1.0
-3.272 -4.066 -3.031
1.069 -4.955 7.114
-8.010 -0.154 0.430
Sn Ca In
7 4 1
direct
0.070 0.706 0.157
0.500 0.000 0.000
0.621 0.438 0.283
0.785 0.861 0.570
0.379 0.562 0.717
0.215 0.139 0.430
0.930 0.294 0.843
0.401 0.795 0.397
0.766 0.648 0.892
0.234 0.352 0.108
0.599 0.205 0.603
0.000 0.000 0.000
```

***

2.
Ca4In2Sn5 | PBE | optimized geometry

- space-group type = P2/m
- formation energy from the elements (kJ/mol of atoms) = -40.2

The structure in POSCAR format:
```
Ca4In2Sn5
1.0
-1.549 0.696 -3.230
-5.052 -6.839 0.950
-6.844 5.691 4.508
Ca Sn In
4 5 2
direct
0.500 0.224 0.129
0.500 0.250 0.615
0.500 0.776 0.871
0.500 0.750 0.385
0.000 0.875 0.126
0.000 0.125 0.874
0.000 0.442 0.342
0.000 0.558 0.658
0.000 0.500 0.000
0.000 0.086 0.372
0.000 0.914 0.628
```

***

3.
CaInSn2 | PBE | optimized geometry

- space-group type = P4/mmm
- formation energy from the elements (kJ/mol of atoms) = -35.5

The structure in POSCAR format:
```
CaInSn2
1.0
-0.886 -3.939 2.321
-2.084 -1.840 -3.919
4.231 -1.784 -1.413
Sn In Ca
2 1 1
direct
0.000 0.000 0.500
0.000 0.500 0.000
0.500 0.500 0.500
0.500 0.000 0.000
```

***

4.
Ca2InSn | PBE | optimized geometry

- space-group type = P2_1/m
- formation energy from the elements (kJ/mol of atoms) = -53.7

The structure in POSCAR format:
```
Ca2InSn
1.0
4.571 0.000 0.000
0.000 5.834 -2.348
0.000 0.023 9.291
Sn In Ca
2 2 4
direct
0.750 0.654 0.789
0.250 0.346 0.211
0.750 0.670 0.291
0.250 0.330 0.709
0.250 0.772 0.572
0.750 0.228 0.428
0.250 0.779 0.066
0.750 0.221 0.934
```

***

5.
Ca3InSn | PBE | optimized geometry

- space-group type = C2/c
- formation energy from the elements (kJ/mol of atoms) = -45.1

The structure in POSCAR format:
```
Ca3InSn
1.0
-5.057 2.796 -3.716
-6.572 -1.461 7.847
-1.193 7.360 7.164
Ca In Sn
12 4 4
direct
0.000 0.678 0.178
0.020 0.917 0.779
0.500 0.822 0.322
0.519 0.582 0.721
0.520 0.779 0.917
0.480 0.221 0.083
0.980 0.083 0.221
0.019 0.721 0.582
0.500 0.178 0.678
0.481 0.418 0.279
0.000 0.322 0.822
0.981 0.279 0.418
0.750 0.000 0.000
0.750 0.500 0.500
0.250 0.000 0.000
0.250 0.500 0.500
0.702 0.965 0.535
0.798 0.465 0.035
0.298 0.035 0.465
0.202 0.535 0.965
```

***

6.
CaInSn3 | PBE | optimized geometry

- space-group type = Pm-3m
- formation energy from the elements (kJ/mol of atoms) = 26.1

The structure in POSCAR format:
```
CaInSn3
1.0
5.635 0.000 0.000
0.000 5.635 0.000
0.000 0.000 5.635
Sn In Ca
3 1 1
direct
0.000 0.500 0.000
0.500 0.000 0.000
0.000 0.000 0.500
0.000 0.000 0.000
0.500 0.500 0.500
```

***

7.
Ca6In4Sn7 | PBE | optimized geometry

- space-group type = Im-3m
- formation energy from the elements (kJ/mol of atoms) = -22.4

The structure in POSCAR format:
```
Ca6In4Sn7
1.0
1.072 1.498 -8.548
5.877 -5.891 2.686
-8.064 -3.064 1.433
Sn In Ca
7 4 6
direct
0.250 0.500 0.750
0.250 0.750 0.500
0.750 0.250 0.500
0.500 0.250 0.750
0.000 0.000 0.000
0.500 0.750 0.250
0.750 0.500 0.250
0.500 0.500 0.500
0.000 0.500 0.000
0.500 0.000 0.000
0.000 0.000 0.500
0.704 0.000 0.704
0.296 0.000 0.296
0.000 0.704 0.704
0.704 0.704 0.000
0.000 0.296 0.296
0.296 0.296 0.000
```

***

8.
Ca3InSn | PBE | optimized geometry

- space-group type = Pm-3m
- formation energy from the elements (kJ/mol of atoms) = -11.9

The structure in POSCAR format:
```
Ca3InSn
1.0
5.928 0.000 0.000
0.000 5.928 0.000
0.000 0.000 5.928
Ca Sn In
3 1 1
direct
0.000 0.500 0.000
0.000 0.000 0.500
0.500 0.000 0.000
0.000 0.000 0.000
0.500 0.500 0.500
```

***

9.
Ca2InSn | PBE | optimized geometry

- space-group type = P4/mmm
- formation energy from the elements (kJ/mol of atoms) = -52.1

The structure in POSCAR format:
```
Ca2InSn
1.0
-1.612 -1.649 3.113
-2.598 -1.756 -2.275
4.676 -5.962 -0.737
Sn Ca In
1 2 1
direct
0.500 0.500 0.500
0.000 0.000 0.251
0.000 0.000 0.749
0.500 0.500 0.000
```

***

10.
Ca8InSn2 | PBE | optimized geometry

- space-group type = C2/m
- formation energy from the elements (kJ/mol of atoms) = -40.4

The structure in POSCAR format:
```
Ca8InSn2
1.0
5.410 0.000 0.000
0.000 7.692 -0.022
-2.705 -3.316 8.773
Ca In Sn
8 1 2
direct
0.194 0.279 0.387
0.401 0.554 0.801
0.599 0.446 0.199
0.337 0.058 0.673
0.806 0.721 0.613
0.024 0.778 0.048
0.976 0.222 0.952
0.663 0.942 0.327
0.500 0.000 0.000
0.815 0.309 0.631
0.185 0.691 0.369
```

***

11.
CaIn2Sn3 | PBE | optimized geometry

- space-group type = Fmmm
- formation energy from the elements (kJ/mol of atoms) = -15.1

The structure in POSCAR format:
```
CaIn2Sn3
1.0
5.569 1.658 -2.783
0.489 5.790 -2.783
-0.083 -0.103 10.834
In Sn Ca
4 6 2
direct
0.252 0.748 0.000
0.748 0.252 0.000
0.250 0.750 0.500
0.750 0.250 0.500
0.315 0.315 0.166
0.685 0.685 0.834
0.851 0.851 0.166
0.836 0.836 0.672
0.164 0.164 0.328
0.149 0.149 0.834
0.336 0.336 0.672
0.664 0.664 0.328
```

***

12.
CaInSn | PBE | optimized geometry

- space-group type = F-43m
- formation energy from the elements (kJ/mol of atoms) = -26.9

The structure in POSCAR format:
```
CaInSn
1.0
-2.862 0.173 4.299
2.147 -1.063 4.578
0.740 3.778 3.446
Sn In Ca
1 1 1
direct
0.250 0.250 0.250
0.000 0.000 0.000
0.500 0.500 0.500
```